First-principles (GGA-PBE) data for crystalline Th2MnP3Ir12 at its relaxed geometry, as listed in the Alexandria database.

Properties
Space group ... R-3m (166)
Calculated total energy ... -8.21 eV per atom
ΔE_f ... -1.21 eV/f.u.

```
18
Lattice="7.406 -0.415 -0.294 3.297 6.645 -0.294 3.297 1.919 6.369" Properties=species:S:1:pos:R:3 pbc="T T T"
P 1.648 3.322 -0.147
P 3.703 -0.207 -0.147
P 1.648 0.959 3.184
Ir 5.020 5.569 3.950
Ir 6.678 6.534 1.830
Ir 7.321 1.615 3.950
Ir 8.444 7.252 5.144
Ir 8.980 2.580 1.830
Ir 6.678 3.887 5.562
Ir 10.476 3.761 5.144
Ir 3.523 4.388 0.636
Ir 3.523 2.051 3.931
Ir 10.476 6.098 1.849
Ir 7.321 4.262 0.218
Ir 5.555 0.897 0.636
Mn 0.000 0.000 0.000
Th 5.499 3.201 2.270
Th 8.501 4.948 3.510
```


First-principles (GGA-PBE) data for crystalline MnV2PIr at its relaxed geometry, as listed in the Alexandria database.

Properties
Space group ... P4/mmm (123)
Calculated total energy ... -7.01 eV per atom
ΔE_f ... 6.63 eV/f.u.

```
5
Lattice="4.728 0.000 0.000 0.000 4.339 0.000 0.000 0.000 4.728" Properties=species:S:1:pos:R:3 pbc="T T T"
V 0.000 0.000 2.364
V 2.364 0.000 0.000
Ir 0.000 0.000 0.000
Mn 2.364 2.170 2.364
P 0.000 2.170 0.000
```


First-principles (GGA-PBE) data for crystalline PaMnIr at its relaxed geometry, as listed in the Alexandria database.

Properties
Space group ... Cmcm (63)
Relative energy among the computed polymorphs ... 0.228 eV per atom
Calculated total energy ... -9.48 eV per atom
ΔE_f ... -0.93 eV/f.u.

```
6
Lattice="4.064 0.000 0.000 0.000 4.071 0.000 -2.032 0.000 6.268" Properties=species:S:1:pos:R:3 pbc="T T T"
Mn 0.000 1.018 3.138
Mn 2.032 3.054 3.130
Ir 0.000 3.054 5.070
Ir 2.032 1.018 1.197
Pa 0.000 3.054 1.267
Pa 2.032 1.018 5.000
```


First-principles (GGA-PBE) data for crystalline PaMnIr at its relaxed geometry, as listed in the Alexandria database.

Properties
Space group ... Imma (74)
Relative energy among the computed polymorphs ... 0.000 eV per atom
Calculated total energy ... -9.71 eV per atom
ΔE_f ... -1.61 eV/f.u.

```
6
Lattice="4.455 0.000 2.501 1.579 4.408 2.406 -0.026 0.020 5.264" Properties=species:S:1:pos:R:3 pbc="T T T"
Mn 2.227 0.000 1.251
Mn 0.000 0.000 0.000
Pa 1.530 2.763 5.101
Pa 4.477 1.665 5.070
Ir 2.214 0.010 3.883
Ir 3.017 2.204 2.454
```


Number 1: N(E_F) 10.38 states/eV per cell. Number 2: N(E_F) 8.85 states/eV per cell. Number 3: N(E_F) 6.30 states/eV per cell. Number 4: N(E_F) 6.72 states/eV per cell.